CdAgS2N after structural relaxation, computed with PBE.

For the energy above the most stable polymorph in this dataset, the calculation gives 177 meV/atom. For the total moment, the calculation gives 0.630 μB per atom. Its total energy is -0.10455 hartree per atom.

Cell: 5.1085 5.1085 4.2372 Å, 90.00 90.00 90.00°
Positions (direct):
Cd  0.0000  0.0000  0.0000
Ag  0.5000  0.5000  0.5000
S  0.0000  0.5000  0.0000
S  0.5000  0.0000  0.0000
N  0.0000  0.0000  0.5000

CdCoAg2 after structural relaxation, computed with PBE.

For the total moment, the calculation gives 0.396 μB per atom. Its total energy is -0.11544 hartree per atom.

Cell: 2.8097 4.4083 5.6279 Å, 90.00 103.22 90.00°
Positions (direct):
Cd  0.0000  0.0000  0.0000
Co  0.0000  0.0000  0.5000
Ag  0.4347  0.5000  0.7344
Ag  0.5653  0.5000  0.2656

Pb2Au2S after structural relaxation, computed with PBE.

For the energy above the most stable polymorph in this dataset, the calculation gives 103 meV/atom. For the total moment, the calculation gives 0.000 μB per atom. Its total energy is -0.13215 hartree per atom.

Cell: 7.5251 7.5251 4.2428 Å, 90.00 90.00 90.00°
Positions (direct):
Pb  0.1707  0.3293  0.0000
Pb  0.3293  0.8293  0.0000
Pb  0.6707  0.1707  0.0000
Pb  0.8293  0.6707  0.0000
Au  0.1327  0.6327  0.5000
Au  0.3673  0.1327  0.5000
Au  0.6327  0.8673  0.5000
Au  0.8673  0.3673  0.5000
S  0.0000  0.0000  0.5000
S  0.5000  0.5000  0.5000

ScBiRh after structural relaxation, computed with PBE.

For the total moment, the calculation gives 0.000 μB per atom. Its total energy is -0.23204 hartree per atom.

Cell: 5.4122 5.4122 5.4122 Å, 140.76 140.76 56.70°
Positions (direct):
Sc  0.0000  0.0000  0.0000
Bi  0.6912  0.6912  0.0000
Rh  0.3845  0.3845  0.0000

Cr7Te6 after structural relaxation, computed with PBE.

For the total moment, the calculation gives 1.509 μB per atom. Its total energy is -0.23214 hartree per atom.

Cell: 10.4140 10.4140 10.4140 Å, 31.58 31.58 31.58°
Positions (direct):
Cr  0.0000  0.0000  0.0000
Cr  0.0656  0.0656  0.5828
Cr  0.0656  0.5828  0.0656
Cr  0.4172  0.9344  0.9344
Cr  0.5828  0.0656  0.0656
Cr  0.9344  0.4172  0.9344
Cr  0.9344  0.9344  0.4172
Te  0.1686  0.1686  0.1686
Te  0.3073  0.3073  0.3073
Te  0.4243  0.4243  0.4243
Te  0.5757  0.5757  0.5757
Te  0.6927  0.6927  0.6927
Te  0.8314  0.8314  0.8314

Co3PbN after structural relaxation, computed with PBE.

For the energy above the most stable polymorph in this dataset, the calculation gives 2564 meV/atom. For the total moment, the calculation gives 0.915 μB per atom. Its total energy is -0.14291 hartree per atom.

Cell: 4.7969 4.7969 4.7969 Å, 90.00 90.00 90.00°
Positions (direct):
Co  0.0000  0.0000  0.5000
Co  0.0000  0.5000  0.0000
Co  0.5000  0.0000  0.0000
Pb  0.0000  0.0000  0.0000
N  0.5000  0.5000  0.5000

AsOsPt after structural relaxation, computed with PBE.

For the energy above the most stable polymorph in this dataset, the calculation gives 74 meV/atom. For the total moment, the calculation gives 0.000 μB per atom. Its total energy is -0.25897 hartree per atom.

Cell: 4.1140 4.1140 3.2488 Å, 90.00 90.00 120.00°
Positions (direct):
As  0.0000  0.0000  0.0000
Os  0.6667  0.3333  0.1388
Pt  0.3333  0.6667  0.6159

CaSnAs3 after structural relaxation, computed with PBE.

For the energy above the most stable polymorph in this dataset, the calculation gives 0 meV/atom. For the total moment, the calculation gives 0.000 μB per atom. Its total energy is -0.13708 hartree per atom.

Cell: 5.2713 5.2713 5.2713 Å, 90.00 90.00 90.00°
Positions (direct):
Ca  0.0000  0.0000  0.0000
Sn  0.5000  0.5000  0.5000
As  0.0000  0.5000  0.5000
As  0.5000  0.0000  0.5000
As  0.5000  0.5000  0.0000

NaCaNb after structural relaxation, computed with PBE.

For the energy above the most stable polymorph in this dataset, the calculation gives 1202 meV/atom. For the total moment, the calculation gives 1.639 μB per atom. Its total energy is -0.11297 hartree per atom.

Cell: 5.4107 5.4107 5.4107 Å, 60.00 60.00 60.00°
Positions (direct):
Na  0.0000  0.0000  0.0000
Ca  0.5000  0.5000  0.5000
Nb  0.7500  0.7500  0.7500

Cs2ErNpO6 after structural relaxation, computed with PBE.

For the total moment, the calculation gives 0.000 μB per atom. Its total energy is -0.27563 hartree per atom.

Cell: 11.0431 11.0431 11.0431 Å, 34.07 34.07 34.07°
Positions (direct):
Cs  0.1311  0.1311  0.1311
Cs  0.2760  0.2760  0.2760
Cs  0.7240  0.7240  0.7240
Cs  0.8689  0.8689  0.8689
Er  0.4009  0.4009  0.4009
Er  0.5991  0.5991  0.5991
Np  0.0000  0.0000  0.0000
Np  0.5000  0.5000  0.5000
O  0.1843  0.5936  0.5936
O  0.1888  0.1889  0.7322
O  0.1888  0.7322  0.1888
O  0.2678  0.8111  0.8112
O  0.4064  0.4064  0.8157
O  0.4064  0.8157  0.4064
O  0.5936  0.1843  0.5936
O  0.5936  0.5936  0.1843
O  0.7322  0.1889  0.1889
O  0.8111  0.2678  0.8111
O  0.8111  0.8111  0.2678
O  0.8157  0.4064  0.4064

BeCoTc2 after structural relaxation, computed with PBE.

For the energy above the most stable polymorph in this dataset, the calculation gives 111 meV/atom. For the total moment, the calculation gives 0.000 μB per atom. Its total energy is -0.28816 hartree per atom.

Cell: 2.6608 3.6970 5.0124 Å, 90.00 90.00 90.00°
Positions (direct):
Be  0.0000  0.0000  0.0000
Co  0.5000  0.5000  0.2060
Tc  0.0000  0.0000  0.4866
Tc  0.5000  0.5000  0.7471

Pm2TmSi after structural relaxation, computed with PBE.

For the energy above the most stable polymorph in this dataset, the calculation gives 195 meV/atom. For the total moment, the calculation gives 0.000 μB per atom. Its total energy is -0.18007 hartree per atom.

Cell: 5.2895 5.2895 5.2895 Å, 60.00 60.00 60.00°
Positions (direct):
Pm  0.2500  0.2500  0.2500
Pm  0.7500  0.7500  0.7500
Tm  0.0000  0.0000  0.0000
Si  0.5000  0.5000  0.5000

La2CuSiGe after structural relaxation, computed with PBE.

For the total moment, the calculation gives 0.000 μB per atom. Its total energy is -0.18359 hartree per atom.

Cell: 5.5734 5.5734 4.2759 Å, 90.00 90.00 90.00°
Positions (direct):
La  0.0000  0.5000  0.0000
La  0.5000  0.0000  0.0000
Cu  0.0000  0.0000  0.0000
Si  0.0000  0.0000  0.5000
Ge  0.5000  0.5000  0.5000